Record 1
Entry from Alexandria: crystalline Ca2In3Sn3 at its relaxed geometry (PBE).

It has space group Pmmm (No. 47), with a = 4.663 Å, b = 4.771 Å, c = 9.630 Å, α = 90.00°, β = 90.00° and γ = 90.00°. The inequivalent atoms are Ca at (0.000, 0.000, 0.247), In at (0.000, 0.500, 0.000), In at (0.000, 0.500, 0.500), In at (0.500, 0.000, 0.500), Sn at (0.500, 0.000, 0.000) and Sn at (0.500, 0.500, 0.252).

Its formation energy is -0.362 eV/atom. The total DFT energy (no corrections) is -3.3908 eV/atom.

---

Record 2
Entry from Alexandria: crystalline Cd12SnHg7 at its relaxed geometry (PBE).

It has space group R-3 (No. 148, hexagonal axes), with a = 14.6069 Å, b = 14.6069 Å, c = 7.9771 Å, α = 90.00°, β = 90.00° and γ = 120.00°. The inequivalent atoms are Cd at (0.0168, 0.7613, 0.3151), Cd at (0.0811, 0.5269, 0.6682), Sn at (0.0000, 0.0000, 0.5000), Hg at (0.0000, 0.0000, 0.0000) and Hg at (0.0085, 0.8247, 0.6768).

As for the relative energy among the computed polymorphs: 0 meV per atom. Its formation energy is 0.035 eV/atom. The total DFT energy (no corrections) is -0.8195 eV/atom.

---

Record 3
Entry from Alexandria: crystalline PbBrN2 at its relaxed geometry (PBE).

It has space group R-3m (No. 166, hexagonal axes), with a = 3.5565 Å, b = 3.5565 Å, c = 19.3632 Å, α = 90.00°, β = 90.00° and γ = 120.00°. The inequivalent atoms are Pb at (0.0000, 0.0000, 0.0000), Br at (0.0000, 0.0000, 0.5000) and N at (0.0000, 0.0000, 0.3938).

As for the relative energy among the computed polymorphs: 1233 meV per atom. The value obtained for the raw formation energy is 1138.9 meV per atom. The total DFT energy (no corrections) is -4.3691 eV/atom.

---

Record 4
Entry from Alexandria: crystalline BaLi2ErI8 at its relaxed geometry (PBE).

It has space group P-3 (No. 147), with a = 7.6067 Å, b = 7.6067 Å, c = 9.7681 Å, α = 90.00°, β = 90.00° and γ = 120.00°. The inequivalent atoms are Ba at (0.0000, 0.0000, 0.0000), Li at (0.3333, 0.6667, 0.7179), Er at (0.0000, 0.0000, 0.5000), I at (0.0221, 0.7011, 0.3110) and I at (0.3333, 0.6667, 0.9962).

The value obtained for the raw formation energy is -1162.2 meV per atom. The total DFT energy (no corrections) is -3.0551 eV/atom.

---

Record 5
Entry from Alexandria: crystalline ScBe2As at its relaxed geometry (PBE).

It has space group P4/mmm (No. 123), with a = 3.795 Å, b = 3.795 Å, c = 3.758 Å, α = 90.00°, β = 90.00° and γ = 90.00°. The inequivalent atoms are Sc at (0.000, 0.000, 0.000), Be at (0.000, 0.500, 0.500) and As at (0.500, 0.500, 0.000).

Its formation energy is -0.197 eV/atom. The total DFT energy (no corrections) is -4.8054 eV/atom.

---

Record 6
Entry from Alexandria: crystalline K2TaP at its relaxed geometry (PBE).

It has space group Imm2 (No. 44), with a = 3.628 Å, b = 6.113 Å, c = 12.065 Å, α = 90.00°, β = 90.00° and γ = 90.00°. The inequivalent atoms are K at (0.000, 0.000, 0.000), K at (0.000, 0.500, 0.185), Ta at (0.000, 0.500, 0.824) and P at (0.000, 0.000, 0.451).

Its formation energy is 0.410 eV/atom. The total DFT energy (no corrections) is -4.4548 eV/atom.

---

Record 7
Entry from Alexandria: crystalline HgSbBr3 at its relaxed geometry (PBE).

It has space group P2_1/c (No. 14), with a = 8.577 Å, b = 8.076 Å, c = 14.972 Å, α = 90.00°, β = 124.80° and γ = 90.00°. The inequivalent atoms are Hg at (0.009, 0.006, 0.261), Sb at (0.264, 0.517, 0.514), Br at (0.030, 0.746, 0.501), Br at (0.470, 0.003, 0.220) and Br at (0.472, 0.746, 0.501).

As for the relative energy among the computed polymorphs: 0 meV per atom. The value obtained for the raw formation energy is -460.8 meV per atom. The total DFT energy (no corrections) is -2.3494 eV/atom.

---

Record 8
Entry from Alexandria: crystalline Sr2Ca2I at its relaxed geometry (PBE).

It has space group P4/mbm (No. 127), with a = 8.647 Å, b = 8.647 Å, c = 6.356 Å, α = 90.00°, β = 90.00° and γ = 90.00°. The inequivalent atoms are Sr at (0.158, 0.342, 0.000), Ca at (0.151, 0.651, 0.500) and I at (0.000, 0.000, 0.500).

As for the relative energy among the computed polymorphs: 0 meV per atom. The value obtained for the raw formation energy is -265.6 meV per atom. The total DFT energy (no corrections) is -2.0490 eV/atom.